This record from the Alexandria database describes a geometry-optimized Rb2Ce2MgS6 structure. The functional is PBE-GGA.

Computed properties:
For the total magnetization, the calculation gives 0.00 μB per formula unit. The uncorrected formation energy is -1.591 eV/atom. The calculated total energy is -5.2420 eV per atom.

Structure (extended XYZ):
```
11
Lattice="3.480 -6.047 0.000 3.480 6.047 0.000 -2.261 0.000 7.810" Properties=species:S:1:pos:R:3 pbc="T T T"
Rb 3.480 4.061 0.000
Rb 3.480 -4.061 0.000
Ce 2.350 2.005 3.905
Ce 2.350 -2.005 3.905
Mg -1.131 0.000 3.905
S 0.021 2.024 5.341
S 1.116 0.000 2.494
S 0.021 -2.024 5.341
S 4.679 2.024 2.469
S 3.583 0.000 5.317
S 4.679 -2.024 2.469
```

This record from the Alexandria database describes a geometry-optimized RbCeMgSe4 structure. The functional is PBE-GGA.

Computed properties:
The density of states at the Fermi level is 0.416 states/eV per atom. For the total magnetization, the calculation gives 0.27 μB per formula unit. The uncorrected formation energy is -1.285 eV/atom. The calculated total energy is -4.4895 eV per atom.

Structure (extended XYZ):
```
14
Lattice="7.526 0.000 0.000 0.000 5.808 0.000 -3.178 0.000 9.668" Properties=species:S:1:pos:R:3 pbc="T T T"
Rb 0.331 1.452 4.472
Rb 4.017 4.356 5.197
Ce -1.203 1.452 9.080
Ce 5.551 4.356 0.588
Mg 1.224 4.356 1.699
Mg 3.124 1.452 7.970
Se -0.787 4.356 3.164
Se -2.485 4.356 8.875
Se 1.060 2.987 7.766
Se 1.060 5.725 7.766
Se 3.288 0.083 1.902
Se 3.288 2.821 1.902
Se 6.833 1.452 0.793
Se 5.135 1.452 6.505
```

Copy entry 1 word for word.
This record from the Alexandria database describes a geometry-optimized Rb2Ce2MgS6 structure. The functional is PBE-GGA.

Computed properties:
For the total magnetization, the calculation gives 0.00 μB per formula unit. The uncorrected formation energy is -1.591 eV/atom. The calculated total energy is -5.2420 eV per atom.

Structure (extended XYZ):
```
11
Lattice="3.480 -6.047 0.000 3.480 6.047 0.000 -2.261 0.000 7.810" Properties=species:S:1:pos:R:3 pbc="T T T"
Rb 3.480 4.061 0.000
Rb 3.480 -4.061 0.000
Ce 2.350 2.005 3.905
Ce 2.350 -2.005 3.905
Mg -1.131 0.000 3.905
S 0.021 2.024 5.341
S 1.116 0.000 2.494
S 0.021 -2.024 5.341
S 4.679 2.024 2.469
S 3.583 0.000 5.317
S 4.679 -2.024 2.469
```

Copy entry 2 word for word.
This record from the Alexandria database describes a geometry-optimized RbCeMgSe4 structure. The functional is PBE-GGA.

Computed properties:
The density of states at the Fermi level is 0.416 states/eV per atom. For the total magnetization, the calculation gives 0.27 μB per formula unit. The uncorrected formation energy is -1.285 eV/atom. The calculated total energy is -4.4895 eV per atom.

Structure (extended XYZ):
```
14
Lattice="7.526 0.000 0.000 0.000 5.808 0.000 -3.178 0.000 9.668" Properties=species:S:1:pos:R:3 pbc="T T T"
Rb 0.331 1.452 4.472
Rb 4.017 4.356 5.197
Ce -1.203 1.452 9.080
Ce 5.551 4.356 0.588
Mg 1.224 4.356 1.699
Mg 3.124 1.452 7.970
Se -0.787 4.356 3.164
Se -2.485 4.356 8.875
Se 1.060 2.987 7.766
Se 1.060 5.725 7.766
Se 3.288 0.083 1.902
Se 3.288 2.821 1.902
Se 6.833 1.452 0.793
Se 5.135 1.452 6.505
```